Entry A
VASP calculation (GGA-PBE) on a relaxed Ac4P3Se crystal.

The structure in POSCAR format:
```
Ac4P3Se
1.0
-2.887 3.380 0.144
-2.109 -1.491 -7.264
-4.463 -4.018 4.834
Ac P Se
4 3 1
Cartesian
-4.152 -0.444 -4.115
-5.308 -1.685 1.830
-1.708 -1.432 -0.631
-4.865 -4.078 -1.798
-2.232 -2.009 2.417
-1.055 -0.746 -3.632
-4.730 -1.065 -1.143
-1.444 1.690 0.072
```

Properties
- total magnetization (μB per formula unit) = 0.00
- Fermi-level density of states (states/eV/f.u.) = 2.043

***

Entry B
VASP calculation (GGA-PBE) on a relaxed Ac4P3Se crystal.

The structure in POSCAR format:
```
Ac4P3Se
1.0
-3.685 -1.672 4.820
-4.762 -1.006 -3.990
1.831 -5.983 -0.676
Ac P Se
4 3 1
Cartesian
-1.843 -0.836 2.410
0.915 -2.992 -0.338
-2.381 -0.503 -1.995
-3.308 -4.331 0.077
-4.224 -1.339 0.415
-0.927 -3.828 2.072
-1.466 -3.495 -2.333
0.000 0.000 0.000
```

Properties
- total magnetization (μB per formula unit) = 0.00
- Fermi-level density of states (states/eV/f.u.) = 3.249

***

entry A is preferred energetically. Next in line: 0.024 eV/atom higher.

***

Entry A
VASP calculation (GGA-PBE) on a relaxed AcSiP2 crystal.

The structure in POSCAR format:
```
AcSiP2
1.0
-2.345 2.737 1.838
-1.371 -3.203 3.021
3.498 1.128 2.784
Ac P Si
1 2 1
Cartesian
-1.173 1.369 0.919
-0.685 -1.601 1.510
1.749 0.564 1.392
-0.109 0.331 3.821
```

Properties
- total magnetization (μB per formula unit) = 0.00
- Fermi-level density of states (states/eV/f.u.) = 2.803

***

Entry B
VASP calculation (GGA-PBE) on a relaxed AcSiP2 crystal.

The structure in POSCAR format:
```
AcSiP2
1.0
-4.292 -2.029 0.294
-0.823 -3.362 3.262
-3.716 3.117 5.742
Ac P Si
1 2 1
Cartesian
-4.416 -1.137 4.649
-3.110 1.637 4.370
-5.721 -3.910 4.928
0.000 0.000 0.000
```

Properties
- total magnetization (μB per formula unit) = 0.00
- Fermi-level density of states (states/eV/f.u.) = 3.146

***

entry A is preferred energetically. Next in line: 0.061 eV/atom higher.